No. 1
Density functional theory data (SCAN) for a PBEsol-optimized structure of CuHg4Te. Values from VASP.

Quantum ESPRESSO input file:
```
&SYSTEM
  ibrav = 0, nat = 6, ntyp = 3
/
ATOMIC_SPECIES
Hg 200.59 Hg.upf
Cu 63.55 Cu.upf
Te 127.60 Te.upf
ATOMIC_POSITIONS angstrom
Hg 5.835 3.369 4.173
Hg 7.298 2.525 1.785
Cu 0.000 0.000 0.000
Te 8.753 5.053 3.573
Hg 5.835 5.058 1.785
Hg 4.373 2.525 1.785
CELL_PARAMETERS angstrom
5.835 0.000 0.000
2.918 5.053 0.000
2.918 1.684 4.764
```

Calculated values
- VASP energy: -322.0 eV per formula unit
- Fermi-level density of states: 2.9 states/eV/f.u.

---

No. 2
Density functional theory data (SCAN) for a PBEsol-optimized structure of CuHgTe. Values from VASP.

Quantum ESPRESSO input file:
```
&SYSTEM
  ibrav = 0, nat = 3, ntyp = 3
/
ATOMIC_SPECIES
Te 127.60 Te.upf
Hg 200.59 Hg.upf
Cu 63.55 Cu.upf
ATOMIC_POSITIONS angstrom
Te 1.813 -5.132 1.070
Hg 0.000 0.000 0.000
Cu 0.907 -2.566 0.535
CELL_PARAMETERS angstrom
-0.904 -4.414 -0.467
3.376 -2.944 -0.670
1.154 -2.907 3.276
```

Calculated values
- VASP energy: -120.4 eV per formula unit
- Fermi-level density of states: 1.2 states/eV/f.u.

---

No. 3
Density functional theory data (SCAN) for a PBEsol-optimized structure of Tl2CuHg. Values from VASP.

Quantum ESPRESSO input file:
```
&SYSTEM
  ibrav = 0, nat = 4, ntyp = 3
/
ATOMIC_SPECIES
Cu 63.55 Cu.upf
Tl 204.38 Tl.upf
Hg 200.59 Hg.upf
ATOMIC_POSITIONS angstrom
Cu -0.286 -0.623 -1.907
Tl -1.850 -1.278 0.695
Tl -1.416 1.840 -0.389
Hg -3.552 -0.061 -1.601
CELL_PARAMETERS angstrom
-0.572 -1.246 -3.814
-3.701 -2.556 1.390
-2.831 3.680 -0.778
```

Calculated values
- DFT formation energy: 0.31 eV/atom
- E above lowest polymorph: 128 meV/atom
- Fermi-level density of states: 1.0 states/eV/f.u.

---

No. 4
Density functional theory data (SCAN) for a PBEsol-optimized structure of TlCuHg. Values from VASP.

Quantum ESPRESSO input file:
```
&SYSTEM
  ibrav = 0, nat = 3, ntyp = 3
/
ATOMIC_SPECIES
Hg 200.59 Hg.upf
Tl 204.38 Tl.upf
Cu 63.55 Cu.upf
ATOMIC_POSITIONS angstrom
Hg 2.292 1.323 0.936
Tl 0.000 0.000 0.000
Cu 4.584 2.647 1.872
CELL_PARAMETERS angstrom
4.584 0.000 0.000
2.292 3.970 0.000
2.292 1.323 3.743
```

Calculated values
- DFT formation energy: 0.41 eV/atom
- Fermi-level density of states: 1.0 states/eV/f.u.

---

No. 5
Density functional theory data (SCAN) for a PBEsol-optimized structure of Tl2CuHg. Values from VASP.

Quantum ESPRESSO input file:
```
&SYSTEM
  ibrav = 0, nat = 4, ntyp = 3
/
ATOMIC_SPECIES
Hg 200.59 Hg.upf
Tl 204.38 Tl.upf
Cu 63.55 Cu.upf
ATOMIC_POSITIONS angstrom
Hg 1.737 1.003 2.563
Tl 5.212 3.009 6.153
Cu 3.475 2.006 4.294
Tl 5.212 3.009 0.113
CELL_PARAMETERS angstrom
3.475 0.000 0.000
1.737 3.009 0.000
1.737 1.003 8.748
```

Calculated values
- DFT formation energy: 0.18 eV/atom
- E above lowest polymorph: 0 meV/atom
- Fermi-level density of states: 1.5 states/eV/f.u.

---

No. 6
Density functional theory data (SCAN) for a PBEsol-optimized structure of TlCu2Hg. Values from VASP.

Quantum ESPRESSO input file:
```
&SYSTEM
  ibrav = 0, nat = 4, ntyp = 3
/
ATOMIC_SPECIES
Hg 200.59 Hg.upf
Cu 63.55 Cu.upf
Tl 204.38 Tl.upf
ATOMIC_POSITIONS angstrom
Hg 0.394 1.549 5.720
Cu 2.127 5.164 6.549
Cu 0.486 2.085 8.380
Tl 0.048 0.435 2.575
CELL_PARAMETERS angstrom
-2.226 -0.730 2.033
0.550 -2.102 2.213
2.228 5.393 6.742
```

Calculated values
- DFT formation energy: 0.33 eV/atom
- E above lowest polymorph: 96 meV/atom
- Fermi-level density of states: 1.1 states/eV/f.u.

---

No. 7
Density functional theory data (SCAN) for a PBEsol-optimized structure of TlCu2Hg. Values from VASP.

Quantum ESPRESSO input file:
```
&SYSTEM
  ibrav = 0, nat = 4, ntyp = 3
/
ATOMIC_SPECIES
Tl 204.38 Tl.upf
Cu 63.55 Cu.upf
Hg 200.59 Hg.upf
ATOMIC_POSITIONS angstrom
Tl 2.307 1.332 0.942
Cu 0.000 0.000 0.000
Hg 4.613 2.664 1.883
Cu 6.920 3.995 2.825
CELL_PARAMETERS angstrom
4.613 0.000 0.000
2.307 3.995 0.000
2.307 1.332 3.767
```

Calculated values
- DFT formation energy: 0.44 eV/atom
- E above lowest polymorph: 200 meV/atom
- Fermi-level density of states: 0.7 states/eV/f.u.

---

No. 8
Density functional theory data (SCAN) for a PBEsol-optimized structure of TlCu2Hg. Values from VASP.

Quantum ESPRESSO input file:
```
&SYSTEM
  ibrav = 0, nat = 4, ntyp = 3
/
ATOMIC_SPECIES
Tl 204.38 Tl.upf
Hg 200.59 Hg.upf
Cu 63.55 Cu.upf
ATOMIC_POSITIONS angstrom
Tl 1.557 1.557 5.788
Hg 0.000 0.000 3.216
Cu 0.000 0.000 0.409
Cu 1.557 1.557 1.544
CELL_PARAMETERS angstrom
3.114 0.000 0.000
0.000 3.114 0.000
0.000 0.000 7.304
```

Calculated values
- DFT formation energy: 0.24 eV/atom
- E above lowest polymorph: 0 meV/atom
- Fermi-level density of states: 1.2 states/eV/f.u.

---

No. 9
Density functional theory data (SCAN) for a PBEsol-optimized structure of YCu2Hg. Values from VASP.

Quantum ESPRESSO input file:
```
&SYSTEM
  ibrav = 0, nat = 4, ntyp = 3
/
ATOMIC_SPECIES
Y 88.91 Y.upf
Hg 200.59 Hg.upf
Cu 63.55 Cu.upf
ATOMIC_POSITIONS angstrom
Y 2.146 -2.774 1.620
Hg 3.843 -0.084 2.610
Cu 1.540 -0.034 1.046
Cu 1.174 -1.522 -0.760
CELL_PARAMETERS angstrom
-1.635 -2.426 2.330
1.403 -3.023 -2.163
4.880 1.124 1.594
```

Calculated values
- DFT formation energy: -0.21 eV/atom
- Fermi-level density of states: 2.1 states/eV/f.u.

---

No. 10
Density functional theory data (SCAN) for a PBEsol-optimized structure of YCu2Hg. Values from VASP.

Quantum ESPRESSO input file:
```
&SYSTEM
  ibrav = 0, nat = 4, ntyp = 3
/
ATOMIC_SPECIES
Cu 63.55 Cu.upf
Y 88.91 Y.upf
Hg 200.59 Hg.upf
ATOMIC_POSITIONS angstrom
Cu 1.673 3.314 2.514
Y 1.938 -0.920 -0.078
Hg 2.988 1.107 2.124
Cu 0.427 0.739 1.889
CELL_PARAMETERS angstrom
-0.198 -0.693 3.252
3.877 -1.839 -0.156
2.298 4.746 1.151
```

Calculated values
- DFT formation energy: -0.17 eV/atom
- Fermi-level density of states: 1.9 states/eV/f.u.

---

No. 11
Density functional theory data (SCAN) for a PBEsol-optimized structure of YCuHg. Values from VASP.

Quantum ESPRESSO input file:
```
&SYSTEM
  ibrav = 0, nat = 3, ntyp = 3
/
ATOMIC_SPECIES
Cu 63.55 Cu.upf
Hg 200.59 Hg.upf
Y 88.91 Y.upf
ATOMIC_POSITIONS angstrom
Cu 0.000 0.000 0.000
Hg 0.000 0.000 2.620
Y 1.704 2.269 1.310
CELL_PARAMETERS angstrom
3.407 0.000 0.000
0.000 4.538 0.000
0.000 -2.269 3.930
```

Calculated values
- DFT formation energy: -0.49 eV/atom
- Fermi-level density of states: 1.8 states/eV/f.u.

---

No. 12
Density functional theory data (SCAN) for a PBEsol-optimized structure of YCu2Hg. Values from VASP.

Quantum ESPRESSO input file:
```
&SYSTEM
  ibrav = 0, nat = 4, ntyp = 3
/
ATOMIC_SPECIES
Cu 63.55 Cu.upf
Y 88.91 Y.upf
Hg 200.59 Hg.upf
ATOMIC_POSITIONS angstrom
Cu 6.982 4.031 2.851
Cu 0.000 0.000 0.000
Y 2.327 1.344 0.950
Hg 4.655 2.688 1.900
CELL_PARAMETERS angstrom
4.655 0.000 0.000
2.327 4.031 0.000
2.327 1.344 3.801
```

Calculated values
- DFT formation energy: -0.16 eV/atom
- Fermi-level density of states: 2.5 states/eV/f.u.

---

Question: Which formula does entry 10 have?
Answer: YCu2Hg

---

Question: Number 7 is which compound?
Answer: TlCu2Hg

---

Copy entry 10 word for word.
Density functional theory data (SCAN) for a PBEsol-optimized structure of YCu2Hg. Values from VASP.

Quantum ESPRESSO input file:
```
&SYSTEM
  ibrav = 0, nat = 4, ntyp = 3
/
ATOMIC_SPECIES
Cu 63.55 Cu.upf
Y 88.91 Y.upf
Hg 200.59 Hg.upf
ATOMIC_POSITIONS angstrom
Cu 1.673 3.314 2.514
Y 1.938 -0.920 -0.078
Hg 2.988 1.107 2.124
Cu 0.427 0.739 1.889
CELL_PARAMETERS angstrom
-0.198 -0.693 3.252
3.877 -1.839 -0.156
2.298 4.746 1.151
```

Calculated values
- DFT formation energy: -0.17 eV/atom
- Fermi-level density of states: 1.9 states/eV/f.u.